A relaxed structure of InAgSe2O8. Source: Alexandria via LeMat-Bulk, functional PBE.

Cell: 5.0899 5.0899 23.3787 Å, 90.00 90.00 120.00°
Space group R-3 (No. 148, hexagonal axes)
One atom of each set of equivalent atoms:
In  0.0000  0.0000  0.0000 x3
Ag  0.0000  0.0000  0.5000 x3
Se  0.0000  0.0000  0.2527 x6
O  0.0000  0.0000  0.1822 x6
O  0.0029  0.3139  0.7231 x18

Calculated values
formation energy from raw total energies = -825 kJ/mol of formula units
volume = 175 Å³/f.u.

***

A relaxed structure of HfTaTePt2. Source: Alexandria via LeMat-Bulk, functional PBE.

Cell: 4.9196 4.9196 5.1047 Å, 90.00 90.00 90.00°
Space group P4/mmm (No. 123)
One atom of each set of equivalent atoms:
Hf  0.0000  0.0000  0.0000 x1
Ta  0.0000  0.0000  0.5000 x1
Te  0.5000  0.5000  0.5000 x1
Pt  0.0000  0.5000  0.0000 x2

Calculated values
formation energy from raw total energies = 543 kJ/mol of formula units
volume = 124 Å³/f.u.

***

A relaxed structure of Rb4Hg2Mo. Source: Alexandria via LeMat-Bulk, functional PBE.

Cell: 6.8802 6.8802 18.0599 Å, 90.00 90.00 90.00°
Space group I4/mmm (No. 139)
One atom of each set of equivalent atoms:
Rb  0.0000  0.0000  0.2090 x4
Rb  0.0000  0.5000  0.0000 x4
Hg  0.0000  0.0000  0.4117 x4
Mo  0.0000  0.0000  0.0000 x2

Calculated values
energy relative to the elements = 0.6643 eV/atom
volume = 427 Å³/f.u.

***

A relaxed structure of YMgTe2. Source: Alexandria via LeMat-Bulk, functional PBE.

Cell: 4.1833 4.1833 22.4575 Å, 90.00 90.00 120.00°
Space group R-3m (No. 166, hexagonal axes)
One atom of each set of equivalent atoms:
Y  0.0000  0.0000  0.0000 x3
Mg  0.0000  0.0000  0.5000 x3
Te  0.0000  0.0000  0.2456 x6

Calculated values
formation energy from raw total energies = -399 kJ/mol of formula units
ΔE to the lowest computed polymorph = 39.0 meV per atom
volume = 113 Å³/f.u.

***

A relaxed structure of Tm6Rh2Pb. Source: Alexandria via LeMat-Bulk, functional PBE.

Cell: 9.2961 9.6169 10.2701 Å, 90.00 90.00 90.00°
Space group Immm (No. 71)
One atom of each set of equivalent atoms:
Tm  0.0000  0.2089  0.2370 x8
Tm  0.1921  0.5000  0.1693 x8
Tm  0.2099  0.3186  0.5000 x8
Rh  0.0000  0.3381  0.0000 x4
Rh  0.0000  0.5000  0.3658 x4
Pb  0.0000  0.0000  0.0000 x2
Pb  0.0000  0.0000  0.5000 x2

Calculated values
energy relative to the elements = -0.6144 eV/atom
volume = 230 Å³/f.u.

***

A relaxed structure of BaSr2Mg. Source: Alexandria via LeMat-Bulk, functional PBE.

Cell: 6.0336 6.0336 21.1620 Å, 90.00 90.00 90.00°
Space group I4/mmm (No. 139)
One atom of each set of equivalent atoms:
Ba  0.0000  0.0000  0.1490 x4
Sr  0.0000  0.0000  0.3485 x4
Sr  0.0000  0.5000  0.0000 x4
Mg  0.0000  0.5000  0.2500 x4

Calculated values
energy relative to the elements = -0.0305 eV/atom
volume = 193 Å³/f.u.

***

A relaxed structure of ZrCrCd2. Source: Alexandria via LeMat-Bulk, functional PBE.

Cell: 3.2006 5.0917 9.8358 Å, 90.00 90.00 90.00°
Space group Imm2 (No. 44)
One atom of each set of equivalent atoms:
Zr  0.0000  0.0000  0.0000 x2
Cr  0.0000  0.5000  0.2704 x2
Cd  0.0000  0.0000  0.5283 x2
Cd  0.0000  0.5000  0.7753 x2

Calculated values
ΔE to the lowest computed polymorph = 133.1 meV per atom
energy relative to the elements = 0.2551 eV/atom
volume = 80 Å³/f.u.

***

A relaxed structure of SrAc5Mg6. Source: Alexandria via LeMat-Bulk, functional PBE.

Cell: 5.8180 8.2902 9.2050 Å, 90.00 108.36 90.00°
Space group P2/m (No. 10)
One atom of each set of equivalent atoms:
Sr  0.0000  0.0000  0.0000 x1
Ac  0.0000  0.5000  0.0000 x1
Ac  0.3333  0.0000  0.6659 x2
Ac  0.3336  0.5000  0.6665 x2
Mg  0.1667  0.2513  0.3340 x4
Mg  0.5000  0.2501  0.0000 x2

Calculated values
energy relative to the elements = -0.0743 eV/atom
volume = 421 Å³/f.u.

***

A relaxed structure of LiAg2As. Source: Alexandria via LeMat-Bulk, functional PBE.

Cell: 5.7123 9.6278 2.9739 Å, 90.00 120.12 90.00°
Space group C2/m (No. 12)
One atom of each set of equivalent atoms:
Li  0.0000  0.0000  0.0000 x2
Ag  0.2500  0.2500  0.5000 x4
As  0.0000  0.5000  0.0000 x2

Calculated values
energy relative to the elements = -0.1038 eV/atom
volume = 71 Å³/f.u.

***

A relaxed structure of CeHfSi. Source: Alexandria via LeMat-Bulk, functional PBE.

Cell: 4.5955 4.5955 3.8189 Å, 90.00 90.00 120.00°
Space group P-6m2 (No. 187)
One atom of each set of equivalent atoms:
Ce  0.0000  0.0000  0.0000 x1
Hf  0.3333  0.6667  0.5000 x1
Si  0.6667  0.3333  0.5000 x1

Calculated values
formation energy from raw total energies = -51 kJ/mol of formula units
volume = 70 Å³/f.u.

***

A relaxed structure of Th2Ni12P3Rh. Source: Alexandria via LeMat-Bulk, functional PBE.

Cell: 7.9530 7.9530 15.3336 Å, 90.00 90.00 120.00°
Space group R-3m (No. 166, hexagonal axes)
One atom of each set of equivalent atoms:
Th  0.0000  0.0000  0.1211 x6
Ni  0.0089  0.5045  0.8634 x18
Ni  0.0437  0.5219  0.3016 x18
P  0.0000  0.5000  0.0000 x9
Rh  0.0000  0.0000  0.5000 x3

Calculated values
energy relative to the elements = -0.1126 eV/atom
volume = 280 Å³/f.u.

***

A relaxed structure of AcEuTmPb. Source: Alexandria via LeMat-Bulk, functional PBE.

Cell: 8.0926 8.0926 8.0926 Å, 90.00 90.00 90.00°
Space group F-43m (No. 216)
One atom of each set of equivalent atoms:
Ac  0.0000  0.0000  0.0000 x4
Eu  0.2500  0.2500  0.2500 x4
Tm  0.2500  0.2500  0.7500 x4
Pb  0.0000  0.0000  0.5000 x4

Calculated values
energy relative to the elements = -0.0402 eV/atom
volume = 132 Å³/f.u.

***

A relaxed structure of ZrPbCl3. Source: Alexandria via LeMat-Bulk, functional PBE.

Cell: 5.6057 5.6057 5.6057 Å, 90.00 90.00 90.00°
Space group Pm-3m (No. 221)
One atom of each set of equivalent atoms:
Zr  0.0000  0.0000  0.0000 x1
Pb  0.5000  0.5000  0.5000 x1
Cl  0.0000  0.5000  0.5000 x3

Calculated values
formation energy from raw total energies = -26 kJ/mol of formula units
ΔE to the lowest computed polymorph = 727.7 meV per atom
volume = 176 Å³/f.u.

***

A relaxed structure of LaErZnRu. Source: Alexandria via LeMat-Bulk, functional PBE.

Cell: 7.1034 7.1034 7.1034 Å, 90.00 90.00 90.00°
Space group F-43m (No. 216)
One atom of each set of equivalent atoms:
La  0.0000  0.0000  0.0000 x4
Er  0.0000  0.0000  0.5000 x4
Zn  0.2500  0.2500  0.2500 x4
Ru  0.2500  0.2500  0.7500 x4

Calculated values
energy relative to the elements = -0.2807 eV/atom
volume = 90 Å³/f.u.

***

A relaxed structure of NpPaCrS6. Source: Alexandria via LeMat-Bulk, functional PBE.

Cell: 6.3358 6.3358 5.9711 Å, 90.00 90.00 120.00°
Space group P312 (No. 149)
One atom of each set of equivalent atoms:
Np  0.0000  0.0000  0.0000 x1
Pa  0.6667  0.3333  0.5000 x1
Cr  0.3333  0.6667  0.0000 x1
S  0.0224  0.3617  0.2408 x6

Calculated values
formation energy from raw total energies = -939 kJ/mol of formula units
volume = 208 Å³/f.u.

***

A relaxed structure of ZrMnPb2. Source: Alexandria via LeMat-Bulk, functional PBE.

Cell: 7.2577 7.2577 7.2577 Å, 90.00 90.00 90.00°
Space group F-43m (No. 216)
One atom of each set of equivalent atoms:
Zr  0.0000  0.0000  0.0000 x4
Mn  0.2500  0.2500  0.7500 x4
Pb  0.0000  0.0000  0.5000 x4
Pb  0.2500  0.2500  0.2500 x4

Calculated values
ΔE to the lowest computed polymorph = 311.5 meV per atom
energy relative to the elements = 0.4491 eV/atom
volume = 96 Å³/f.u.

***

A relaxed structure of ScTc2W. Source: Alexandria via LeMat-Bulk, functional PBE.

Cell: 5.6663 8.6649 2.8061 Å, 90.00 111.71 90.00°
Space group C2/m (No. 12)
One atom of each set of equivalent atoms:
Sc  0.0000  0.0000  0.0000 x2
Tc  0.2500  0.2500  0.5000 x4
W  0.0000  0.5000  0.0000 x2

Calculated values
ΔE to the lowest computed polymorph = 218.5 meV per atom
energy relative to the elements = -0.0056 eV/atom
volume = 64 Å³/f.u.

***

A relaxed structure of ZrTe2P. Source: Alexandria via LeMat-Bulk, functional PBE.

Cell: 7.1468 7.1468 7.1468 Å, 90.00 90.00 90.00°
Space group Fm-3m (No. 225)
One atom of each set of equivalent atoms:
Zr  0.0000  0.0000  0.0000 x4
Te  0.2500  0.2500  0.2500 x8
P  0.0000  0.0000  0.5000 x4

Calculated values
formation energy from raw total energies = 21 kJ/mol of formula units
ΔE to the lowest computed polymorph = 611.1 meV per atom
volume = 91 Å³/f.u.

***

A relaxed structure of Al2BPtAu. Source: Alexandria via LeMat-Bulk, functional PBE.

Cell: 4.8485 4.8485 3.9852 Å, 90.00 90.00 90.00°
Space group P4/mmm (No. 123)
One atom of each set of equivalent atoms:
Al  0.0000  0.5000  0.0000 x2
B  0.0000  0.0000  0.5000 x1
Pt  0.5000  0.5000  0.5000 x1
Au  0.0000  0.0000  0.0000 x1

Calculated values
energy relative to the elements = 0.6199 eV/atom
volume = 94 Å³/f.u.

***

A relaxed structure of Tc2Ni. Source: Alexandria via LeMat-Bulk, functional PBE.

Cell: 4.3742 4.3742 2.5051 Å, 90.00 90.00 120.00°
Space group P6/mmm (No. 191)
One atom of each set of equivalent atoms:
Tc  0.3333  0.6667  0.0000 x2
Ni  0.0000  0.0000  0.5000 x1

Calculated values
ΔE to the lowest computed polymorph = 301.7 meV per atom
energy relative to the elements = 0.2303 eV/atom
volume = 42 Å³/f.u.